## CeSm2Ho8 (GGA-PBE)

Data for crystalline CeSm2Ho8 at its relaxed geometry.

Output
**DFT formation energy**: 17 kJ/mol of atoms
**Mass density**: 8.02 Mg/m³
**Offset from the most stable computed form**: 0.1411 eV/atom
**Spin magnetization**: 1.2 μB per formula unit
**Fermi-level density of states**: 22.0 states/eV/f.u.

Cell: 19.0084 6.9070 5.5618 Å, 90.00 92.95 90.00°
Closest atoms and distances in Å follow each position.
Space group C2/m (No. 12)
Symmetry-distinct sites (fractional):
Ce (0.0000, 0.0000, 0.0000) (multiplicity 2)  10 Ho 3.48-3.78
Sm (0.2167, 0.5000, 0.2494) (multiplicity 4)  9 Ho 3.23-3.60
Ho (0.0466, 0.5000, 0.2368) (multiplicity 4)  1 Ho 3.10, 1 Sm 3.23
Ho (0.1305, 0.2646, 0.7324) (multiplicity 8)  4 Ho 3.25-3.53, 3 Sm 3.43-3.62, 1 Ce 3.48
Ho (0.1853, 0.0000, 0.2330) (multiplicity 4)  4 Sm 3.34-3.51, 4 Ho 3.45-3.53, 1 Ce 3.69

## Na2DyScO4 (GGA-PBE)

Data for crystalline Na2DyScO4 at its relaxed geometry.

Output
**Mass density**: 5.02 Mg/m³
**Spin magnetization**: 0.0 μB per formula unit
**E_form (uncorrected)**: -2.8007 eV/atom
**Fermi-level density of states**: 0.0 states/eV/f.u.

Cell: 5.7310 3.3123 5.8550 Å, 90.00 109.04 90.00°
Closest atoms and distances in Å follow each position.
Space group P2/m (No. 10)
Symmetry-distinct sites (fractional):
Na (0.0000, 0.0000, 0.0000) (multiplicity 1)  6 O 2.54-2.56
Na (0.5000, 0.5000, 0.0000) (multiplicity 1)  6 O 2.46-2.47
Dy (0.0000, 0.5000, 0.5000) (multiplicity 1)  6 O 2.27-2.28
Sc (0.5000, 0.0000, 0.5000) (multiplicity 1)  6 O 2.16-2.20
O (0.2503, 0.0000, 0.7086) (multiplicity 2)  1 Sc 2.16, 2 Dy 2.27
O (0.2765, 0.5000, 0.2945) (multiplicity 2)  2 Sc 2.20, 1 Dy 2.28

## Nd2Y4N (GGA-PBE)

Data for crystalline Nd2Y4N at its relaxed geometry.

Output
**Mass density**: 5.23 Mg/m³
**Spin magnetization**: 0.0 μB per formula unit
**E_form (uncorrected)**: -0.2742 eV/atom
**Fermi-level density of states**: 9.0 states/eV/f.u.

Cell: 4.8098 4.8098 18.0629 Å, 90.00 90.00 90.00°
Closest atoms and distances in Å follow each position.
Space group I4/mmm (No. 139)
Symmetry-distinct sites (fractional):
Nd (0.0000, 0.0000, 0.1754) (multiplicity 4)  5 Y 3.50-3.51
Y (0.0000, 0.0000, 0.3697) (multiplicity 4)  1 N 2.35
Y (0.0000, 0.5000, 0.0000) (multiplicity 4)  2 N 2.40
N (0.0000, 0.0000, 0.5000) (multiplicity 2)  6 Y 2.35-2.40

## ErPu2Au3 (GGA-PBE)

Data for crystalline ErPu2Au3 at its relaxed geometry.

Output
**DFT formation energy**: -54 kJ/mol of atoms
**Mass density**: 14.63 Mg/m³
**Spin magnetization**: 11.6 μB per formula unit
**Fermi-level density of states**: 18.9 states/eV/f.u.

Cell: 3.5379 3.5379 11.3005 Å, 90.00 90.00 90.00°
Closest atoms and distances in Å follow each position.
Space group P4/mmm (No. 123)
Symmetry-distinct sites (fractional):
Er (0.0000, 0.0000, 0.0000) (multiplicity 1)  8 Au 3.03
Pu (0.0000, 0.0000, 0.3299) (multiplicity 2)  8 Au 3.15-3.22
Au (0.5000, 0.5000, 0.1506) (multiplicity 2)  4 Er 3.03, 4 Pu 3.22
Au (0.5000, 0.5000, 0.5000) (multiplicity 1)  8 Pu 3.15